No. 1
SrZrO3 | PBE | relaxed

The structure belongs to space group I-4m2 (No. 119); the cell edges are 3.8978, 3.8978 and 21.5740 Å and the angles 90.00°, 90.00° and 90.00°. Symmetry generates all atoms from Sr at (0.0000, 0.0000, 0.0000), Sr at (0.0000, 0.5000, 0.2500), Zr at (0.0000, 0.5000, 0.6343), O at (0.0000, 0.0000, 0.3153) and O at (0.0000, 0.2521, 0.1084).

As for the energy relative to the elements, uncorrected: -1.963 eV/atom. The raw total energy comes out at -139.7 eV/cell. As for the total moment: 3.26 μB per cell.


No. 2
SrZrO3 | PBE | relaxed

The structure belongs to space group Imma (No. 74); the cell edges are 5.8956, 8.2734 and 5.8994 Å and the angles 90.00°, 90.00° and 90.00°. Symmetry generates all atoms from Sr at (0.0000, 0.2500, 0.0122), Zr at (0.0000, 0.0000, 0.5000), O at (0.0000, 0.2500, 0.5852) and O at (0.2500, 0.0469, 0.2500).

As for the energy relative to the elements, uncorrected: -3.239 eV/atom. The raw total energy comes out at -165.2 eV/cell. As for the total moment: 0.00 μB per cell.


No. 3
SrZrO3 | PBE | relaxed

The structure belongs to space group P2_1/c (No. 14); the cell edges are 7.3330, 5.7580 and 8.3403 Å and the angles 90.00°, 124.49° and 90.00°. Symmetry generates all atoms from Sr at (0.1911, 0.2468, 0.0947), Zr at (0.2637, 0.6916, 0.8818), O at (0.0224, 0.5181, 0.2496), O at (0.2518, 0.7300, 0.6239) and O at (0.3969, 0.1877, 0.4486).

As for the energy relative to the elements, uncorrected: -3.082 eV/atom. The raw total energy comes out at -162.1 eV/cell. As for the total moment: 0.00 μB per cell.


No. 4
SrZrO3 | PBE | relaxed

The structure belongs to space group P2_1/c (No. 14); the cell edges are 7.5306, 5.6374 and 7.5990 Å and the angles 90.00°, 112.80° and 90.00°. Symmetry generates all atoms from Sr at (0.1266, 0.2449, 0.1388), Zr at (0.4007, 0.7399, 0.3826), O at (0.1221, 0.6778, 0.7170), O at (0.3185, 0.0797, 0.9597) and O at (0.4369, 0.5653, 0.1394).

As for the energy relative to the elements, uncorrected: -3.150 eV/atom. The raw total energy comes out at -163.4 eV/cell. As for the total moment: 0.00 μB per cell.


No. 5
Sr3Zr5O12 | PBE | relaxed

The structure belongs to space group Ia-3d (No. 230); the cell edges are 13.6067, 13.6067 and 13.6067 Å and the angles 90.00°, 90.00° and 90.00°. Symmetry generates all atoms from Sr at (0.0000, 0.2500, 0.1250), Zr at (0.0000, 0.0000, 0.0000), Zr at (0.0000, 0.2500, 0.3750) and O at (0.0296, 0.0501, 0.6485).

As for the energy relative to the elements, uncorrected: -3.038 eV/atom. The raw total energy comes out at -1344.3 eV/cell. As for the total moment: 12.27 μB per cell.


No. 6
Sr2Zr7O16 | PBE | relaxed

The structure belongs to space group R-3 (No. 148, hexagonal axes); the cell edges are 6.4927, 6.4927 and 27.1136 Å and the angles 90.00°, 90.00° and 120.00°. Symmetry generates all atoms from Sr at (0.0000, 0.0000, 0.1666), Zr at (0.0000, 0.0000, 0.5000), Zr at (0.0011, 0.6285, 0.3849), O at (0.0000, 0.0000, 0.0721), O at (0.0000, 0.0000, 0.2632), O at (0.0061, 0.7253, 0.4578) and O at (0.0135, 0.7225, 0.6367).

As for the energy relative to the elements, uncorrected: -3.315 eV/atom. The raw total energy comes out at -676.2 eV/cell. As for the total moment: 0.00 μB per cell.


No. 7
SrZrO3 | PBE | relaxed

The structure belongs to space group C2/c (No. 15); the cell edges are 11.7619, 9.3719 and 5.9963 Å and the angles 90.00°, 96.89° and 90.00°. Symmetry generates all atoms from Sr at (0.0000, 0.0966, 0.2500), Sr at (0.0000, 0.3284, 0.7500), Zr at (0.2383, 0.3942, 0.1645), O at (0.1130, 0.1143, 0.6292), O at (0.1489, 0.4779, 0.4167) and O at (0.1532, 0.2150, 0.0819).

As for the energy relative to the elements, uncorrected: -3.091 eV/atom. The raw total energy comes out at -324.5 eV/cell. As for the total moment: 0.00 μB per cell.


No. 8
SrZrO3 | PBE | relaxed

The structure belongs to space group Pm-3m (No. 221); the cell edges are 4.4050, 4.4050 and 4.4050 Å and the angles 90.00°, 90.00° and 90.00°. Symmetry generates all atoms from Sr at (0.0000, 0.0000, 0.0000), Zr at (0.5000, 0.5000, 0.5000) and O at (0.0000, 0.0000, 0.5000).

As for the energy relative to the elements, uncorrected: -0.735 eV/atom. The raw total energy comes out at -28.8 eV/cell. As for the total moment: 0.01 μB per cell.


No. 9
SrZr2O4 | PBE | relaxed

The structure belongs to space group Cmcm (No. 63); the cell edges are 3.3712, 10.5683 and 10.8008 Å and the angles 90.00°, 90.00° and 90.00°. Symmetry generates all atoms from Sr at (0.0000, 0.1196, 0.2500), Zr at (0.0000, 0.3773, 0.0633), O at (0.0000, 0.0000, 0.0000), O at (0.0000, 0.2616, 0.6052) and O at (0.0000, 0.4392, 0.2500).

As for the energy relative to the elements, uncorrected: -2.909 eV/atom. The raw total energy comes out at -235.9 eV/cell. As for the total moment: 0.00 μB per cell.


No. 10
TaO3 | PBE | relaxed

The structure belongs to space group Cmcm (No. 63); the cell edges are 3.2629, 7.1719 and 6.3800 Å and the angles 90.00°, 90.00° and 90.00°. Symmetry generates all atoms from Ta at (0.0000, 0.2328, 0.2500), O at (0.0000, 0.0677, 0.7500) and O at (0.0000, 0.3529, 0.5571).

As for the energy relative to the elements, uncorrected: -2.033 eV/atom. The raw total energy comes out at -139.4 eV/cell. The value obtained for the offset from the most stable computed form is 225.8 meV/atom. As for the total moment: 4.05 μB per cell.


No. 11
Ta2O5 | PBE | relaxed

The structure belongs to space group I4/mmm (No. 139); the cell edges are 5.2937, 5.2937 and 9.6343 Å and the angles 90.00°, 90.00° and 90.00°. Symmetry generates all atoms from Ta at (0.0000, 0.0000, 0.1972), O at (0.0000, 0.0000, 0.0000) and O at (0.2500, 0.2500, 0.2500).

As for the energy relative to the elements, uncorrected: -2.729 eV/atom. The raw total energy comes out at -135.2 eV/cell. As for the total moment: 0.00 μB per cell.


No. 12
TaO | PBE | relaxed

The structure belongs to space group P2_12_12_1 (No. 19); the cell edges are 5.2955, 5.6789 and 7.5136 Å and the angles 90.00°, 90.00° and 90.00°. Symmetry generates all atoms from Ta at (0.1127, 0.0104, 0.1876), Ta at (0.1260, 0.6268, 0.9513), O at (0.1836, 0.3638, 0.1540) and O at (0.2360, 0.0157, 0.4436).

As for the energy relative to the elements, uncorrected: -1.456 eV/atom. The raw total energy comes out at -157.8 eV/cell. As for the total moment: 0.00 μB per cell.